1.
ErZnAg | PBE-GGA | optimized geometry

a = 3.353 Å, b = 4.621 Å, c = 4.621 Å
α = 120.00°, β = 90.00°, γ = 90.00°
Atoms (fractional coordinates):
Zn (0.166, 0.000, 0.000)
Ag (0.167, 0.333, 0.667)
Er (0.667, 0.667, 0.333)

Output
SG: P-6m2, No. 187
Formation enthalpy at 0 K: -0.31 eV per atom

2.
CrGaSb | PBE-GGA | optimized geometry

a = 3.199 Å, b = 7.155 Å, c = 5.844 Å
α = 59.81°, β = 74.11°, γ = 77.08°
Atoms (fractional coordinates):
Sb (0.079, 0.733, 0.609)
Sb (0.921, 0.267, 0.391)
Cr (0.621, 0.019, 0.239)
Cr (0.379, 0.981, 0.761)
Ga (0.171, 0.288, 0.871)
Ga (0.829, 0.712, 0.129)

Output
SG: C2/m, No. 12
ΔE_f (raw): 0.18 eV/atom

3.
KMg2CdAu | PBE-GGA | optimized geometry

a = 5.250 Å, b = 5.250 Å, c = 5.402 Å
α = 90.00°, β = 90.00°, γ = 90.00°
Atoms (fractional coordinates):
Cd (0.000, 0.000, 0.500)
K (0.500, 0.500, 0.500)
Mg (0.500, 0.000, 0.000)
Mg (0.000, 0.500, 0.000)
Au (0.000, 0.000, 0.000)

Output
SG: P4/mmm, No. 123
Formation enthalpy at 0 K: -0.16 eV per atom

4.
NaPdSeO5 | PBE-GGA | optimized geometry

a = 5.985 Å, b = 5.985 Å, c = 6.790 Å
α = 96.22°, β = 96.22°, γ = 102.92°
Atoms (fractional coordinates):
O (0.094, 0.906, 0.250)
O (0.733, 0.501, 0.427)
O (0.906, 0.094, 0.750)
O (0.314, 0.970, 0.647)
O (0.501, 0.733, 0.927)
O (0.267, 0.499, 0.573)
O (0.499, 0.267, 0.073)
O (0.686, 0.030, 0.353)
O (0.030, 0.686, 0.853)
O (0.970, 0.314, 0.147)
Se (0.716, 0.284, 0.250)
Se (0.284, 0.716, 0.750)
Na (0.363, 0.637, 0.250)
Na (0.637, 0.363, 0.750)
Pd (0.000, 0.000, 0.000)
Pd (0.000, 0.000, 0.500)

Output
SG: C2/c, No. 15
ΔE_f (raw): -0.79 eV/atom

5.
NiRh2Br | PBE-GGA | optimized geometry

a = 4.388 Å, b = 4.388 Å, c = 4.388 Å
α = 60.00°, β = 60.00°, γ = 60.00°
Atoms (fractional coordinates):
Ni (0.000, 0.000, 0.000)
Rh (0.750, 0.750, 0.750)
Rh (0.250, 0.250, 0.250)
Br (0.500, 0.500, 0.500)

Output
SG: Fm-3m, No. 225
ΔE_f (raw): 0.67 eV/atom
Energy relative to the lowest polymorph listed for this composition: 0.321 eV per atom

6.
TbZrTlPd | PBE-GGA | optimized geometry

a = 5.054 Å, b = 5.054 Å, c = 5.054 Å
α = 60.00°, β = 60.00°, γ = 60.00°
Atoms (fractional coordinates):
Tl (0.750, 0.750, 0.750)
Tb (0.500, 0.500, 0.500)
Pd (0.250, 0.250, 0.250)
Zr (0.000, 0.000, 0.000)

Output
SG: F-43m, No. 216
Formation enthalpy at 0 K: -0.32 eV per atom

no.,V (Å³/f.u.),total moment (μB/f.u.)
1,62,0.000
2,55,0.420
3,149,0.000
4,117,0.294
5,60,2.103
6,91,0.516